No. 1
A plane-wave DFT calculation with PBE-GGA was carried out for a relaxed structure of IrAuCl2.

Its symmetry is P4mm, No. 99. The value obtained for the uncorrected energy is -13.741 eV/f.u. The theoretical density is 9.28 Mg/m³. The relative energy among the computed polymorphs is 535 meV per atom. As for the formation energy (no corrections): 523 meV/atom. The value obtained for the total moment is 2.3 Bohr magnetons per cell.

Structure (CIF):
```
data_IrAuCl2
_cell_length_a 3.1360
_cell_length_b 3.1360
_cell_length_c 8.3737
_cell_angle_alpha 90.00
_cell_angle_beta 90.00
_cell_angle_gamma 90.00
_symmetry_space_group_name_H-M 'P 1'
_symmetry_Int_Tables_number 1
_symmetry_space_group_name_Hall 'P 1'
loop_
_atom_site_label
_atom_site_type_symbol
_atom_site_fract_x
_atom_site_fract_y
_atom_site_fract_z
Ir1 Ir 0.0000 0.0000 0.5158
Au1 Au 0.5000 0.5000 0.7237
Cl1 Cl 0.0000 0.0000 0.9302
Cl2 Cl 0.5000 0.5000 0.3303
```



No. 2
A plane-wave DFT calculation with PBE-GGA was carried out for a relaxed structure of IrAuCl2.

Its symmetry is Fm-3m, No. 225. The value obtained for the uncorrected energy is -11.877 eV/f.u. The theoretical density is 10.51 Mg/m³. The relative energy among the computed polymorphs is 1001 meV per atom. As for the formation energy (no corrections): 989 meV/atom. The value obtained for the total moment is 2.0 Bohr magnetons per cell.

Structure (CIF):
```
data_IrAuCl2
_cell_length_a 4.6852
_cell_length_b 4.6852
_cell_length_c 4.6852
_cell_angle_alpha 60.00
_cell_angle_beta 60.00
_cell_angle_gamma 60.00
_symmetry_space_group_name_H-M 'P 1'
_symmetry_Int_Tables_number 1
_symmetry_space_group_name_Hall 'P 1'
loop_
_atom_site_label
_atom_site_type_symbol
_atom_site_fract_x
_atom_site_fract_y
_atom_site_fract_z
Ir1 Ir 0.0000 0.0000 0.0000
Au1 Au 0.5000 0.5000 0.5000
Cl1 Cl 0.2500 0.2500 0.2500
Cl2 Cl 0.7500 0.7500 0.7500
```



No. 3
A plane-wave DFT calculation with PBE-GGA was carried out for a relaxed structure of KIrAuClO.

Its symmetry is Pm, No. 6. The value obtained for the uncorrected energy is -22.624 eV/f.u. The theoretical density is 6.44 Mg/m³. The relative energy among the computed polymorphs is 60 meV per atom. As for the formation energy (no corrections): -517 meV/atom. The value obtained for the total moment is 0.0 Bohr magnetons per cell.

Structure (CIF):
```
data_KIrAuClO
_cell_length_a 4.6358
_cell_length_b 3.7042
_cell_length_c 7.2207
_cell_angle_alpha 90.00
_cell_angle_beta 93.59
_cell_angle_gamma 90.00
_symmetry_space_group_name_H-M 'P 1'
_symmetry_Int_Tables_number 1
_symmetry_space_group_name_Hall 'P 1'
loop_
_atom_site_label
_atom_site_type_symbol
_atom_site_fract_x
_atom_site_fract_y
_atom_site_fract_z
K1 K 0.1247 0.0000 0.3300
Ir1 Ir 0.8639 0.5000 0.7082
Au1 Au 0.3611 0.5000 0.8867
Cl1 Cl 0.6109 0.5000 0.2087
O1 O 0.8556 0.0000 0.6958
```



No. 4
A plane-wave DFT calculation with PBE-GGA was carried out for a relaxed structure of KIrAuClO.

Its symmetry is P4mm, No. 99. The value obtained for the uncorrected energy is -22.924 eV/f.u. The theoretical density is 7.76 Mg/m³. The relative energy among the computed polymorphs is 0 meV per atom. As for the formation energy (no corrections): -577 meV/atom. The value obtained for the total moment is 0.0 Bohr magnetons per cell.

Structure (CIF):
```
data_KIrAuClO
_cell_length_a 3.6852
_cell_length_b 3.6852
_cell_length_c 7.5588
_cell_angle_alpha 90.00
_cell_angle_beta 90.00
_cell_angle_gamma 90.00
_symmetry_space_group_name_H-M 'P 1'
_symmetry_Int_Tables_number 1
_symmetry_space_group_name_Hall 'P 1'
loop_
_atom_site_label
_atom_site_type_symbol
_atom_site_fract_x
_atom_site_fract_y
_atom_site_fract_z
K1 K 0.5000 0.5000 0.5924
Ir1 Ir 0.0000 0.0000 0.1866
Au1 Au 0.5000 0.5000 0.1139
Cl1 Cl 0.0000 0.0000 0.8528
O1 O 0.0000 0.0000 0.4249
```



No. 5
A plane-wave DFT calculation with PBE-GGA was carried out for a relaxed structure of KIrAuClO.

Its symmetry is Cm, No. 8. The value obtained for the uncorrected energy is -22.280 eV/f.u. The theoretical density is 8.45 Mg/m³. The relative energy among the computed polymorphs is 129 meV per atom. As for the formation energy (no corrections): -448 meV/atom. The value obtained for the total moment is 0.0 Bohr magnetons per cell.

Structure (CIF):
```
data_KIrAuClO
_cell_length_a 4.6723
_cell_length_b 2.9269
_cell_length_c 13.7852
_cell_angle_alpha 90.00
_cell_angle_beta 90.24
_cell_angle_gamma 90.00
_symmetry_space_group_name_H-M 'P 1'
_symmetry_Int_Tables_number 1
_symmetry_space_group_name_Hall 'P 1'
loop_
_atom_site_label
_atom_site_type_symbol
_atom_site_fract_x
_atom_site_fract_y
_atom_site_fract_z
K1 K 0.2974 0.0000 0.6235
K2 K 0.2974 0.5000 0.1235
Ir1 Ir 0.7941 0.0000 0.8250
Ir2 Ir 0.7941 0.5000 0.3250
Au1 Au 0.2943 0.0000 0.3475
Au2 Au 0.2943 0.5000 0.8475
Cl1 Cl 0.7962 0.0000 0.9950
Cl2 Cl 0.7962 0.5000 0.4950
O1 O 0.7925 0.0000 0.2190
O2 O 0.7925 0.5000 0.7190
```



No. 6
A plane-wave DFT calculation with PBE-GGA was carried out for a relaxed structure of KIrAuClO.

Its symmetry is P2/m, No. 10. The value obtained for the uncorrected energy is -22.513 eV/f.u. The theoretical density is 7.37 Mg/m³. The relative energy among the computed polymorphs is 82 meV per atom. As for the formation energy (no corrections): -494 meV/atom. The value obtained for the total moment is 0.0 Bohr magnetons per cell.

Structure (CIF):
```
data_KIrAuClO
_cell_length_a 5.4123
_cell_length_b 3.7273
_cell_length_c 5.3573
_cell_angle_alpha 90.00
_cell_angle_beta 90.08
_cell_angle_gamma 90.00
_symmetry_space_group_name_H-M 'P 1'
_symmetry_Int_Tables_number 1
_symmetry_space_group_name_Hall 'P 1'
loop_
_atom_site_label
_atom_site_type_symbol
_atom_site_fract_x
_atom_site_fract_y
_atom_site_fract_z
K1 K 0.0000 0.0000 0.5000
Ir1 Ir 0.5000 0.5000 0.0000
Au1 Au 0.5000 0.5000 0.5000
Cl1 Cl 0.0000 0.5000 0.0000
O1 O 0.5000 0.0000 0.0000
```



No. 7
A plane-wave DFT calculation with PBE-GGA was carried out for a relaxed structure of KIrAuClO.

Its symmetry is P1, No. 1. The value obtained for the uncorrected energy is -22.172 eV/f.u. The theoretical density is 7.46 Mg/m³. The relative energy among the computed polymorphs is 150 meV per atom. As for the formation energy (no corrections): -426 meV/atom. The value obtained for the total moment is 0.0 Bohr magnetons per cell.

Structure (CIF):
```
data_KIrAuClO
_cell_length_a 3.0667
_cell_length_b 5.2356
_cell_length_c 7.1218
_cell_angle_alpha 69.13
_cell_angle_beta 88.47
_cell_angle_gamma 89.91
_symmetry_space_group_name_H-M 'P 1'
_symmetry_Int_Tables_number 1
_symmetry_space_group_name_Hall 'P 1'
loop_
_atom_site_label
_atom_site_type_symbol
_atom_site_fract_x
_atom_site_fract_y
_atom_site_fract_z
K1 K 0.2189 0.6325 0.6669
Ir1 Ir 0.2340 0.8951 0.1592
Au1 Au 0.4083 0.4031 0.1424
Cl1 Cl 0.7565 0.0437 0.8516
O1 O 0.7366 0.8020 0.3505
```



No. 8
A plane-wave DFT calculation with PBE-GGA was carried out for a relaxed structure of KIrAuClO.

Its symmetry is P1, No. 1. The value obtained for the uncorrected energy is -22.013 eV/f.u. The theoretical density is 7.54 Mg/m³. The relative energy among the computed polymorphs is 182 meV per atom. As for the formation energy (no corrections): -395 meV/atom. The value obtained for the total moment is 0.0 Bohr magnetons per cell.

Structure (CIF):
```
data_KIrAuClO
_cell_length_a 3.3425
_cell_length_b 5.3558
_cell_length_c 6.6279
_cell_angle_alpha 99.15
_cell_angle_beta 104.38
_cell_angle_gamma 108.02
_symmetry_space_group_name_H-M 'P 1'
_symmetry_Int_Tables_number 1
_symmetry_space_group_name_Hall 'P 1'
loop_
_atom_site_label
_atom_site_type_symbol
_atom_site_fract_x
_atom_site_fract_y
_atom_site_fract_z
K1 K 0.0843 0.4339 0.3552
Ir1 Ir 0.0252 0.8067 0.8683
Au1 Au 0.7192 0.2800 0.7815
Cl1 Cl 0.6656 0.8201 0.1400
O1 O 0.4527 0.8431 0.6844
```



No. 9
A plane-wave DFT calculation with PBE-GGA was carried out for a relaxed structure of KIrAuClO.

Its symmetry is Pm, No. 6. The value obtained for the uncorrected energy is -22.105 eV/f.u. The theoretical density is 7.47 Mg/m³. The relative energy among the computed polymorphs is 164 meV per atom. As for the formation energy (no corrections): -413 meV/atom. The value obtained for the total moment is 0.0 Bohr magnetons per cell.

Structure (CIF):
```
data_KIrAuClO
_cell_length_a 3.4620
_cell_length_b 4.2966
_cell_length_c 7.2435
_cell_angle_alpha 98.45
_cell_angle_beta 90.01
_cell_angle_gamma 90.00
_symmetry_space_group_name_H-M 'P 1'
_symmetry_Int_Tables_number 1
_symmetry_space_group_name_Hall 'P 1'
loop_
_atom_site_label
_atom_site_type_symbol
_atom_site_fract_x
_atom_site_fract_y
_atom_site_fract_z
K1 K 0.5236 0.4681 0.6316
Ir1 Ir 0.0234 0.2569 0.1445
Au1 Au 0.5235 0.8404 0.2194
Cl1 Cl 0.0236 0.0164 0.8226
O1 O 0.0235 0.5756 0.3526
```



No. 10
A plane-wave DFT calculation with PBE-GGA was carried out for a relaxed structure of KIrAuClO.

Its symmetry is Cm, No. 8. The value obtained for the uncorrected energy is -20.553 eV/f.u. The theoretical density is 6.90 Mg/m³. The relative energy among the computed polymorphs is 474 meV per atom. As for the formation energy (no corrections): -102 meV/atom. The value obtained for the total moment is 0.0 Bohr magnetons per cell.

Structure (CIF):
```
data_KIrAuClO
_cell_length_a 4.2434
_cell_length_b 3.2395
_cell_length_c 17.2837
_cell_angle_alpha 90.00
_cell_angle_beta 103.61
_cell_angle_gamma 90.00
_symmetry_space_group_name_H-M 'P 1'
_symmetry_Int_Tables_number 1
_symmetry_space_group_name_Hall 'P 1'
loop_
_atom_site_label
_atom_site_type_symbol
_atom_site_fract_x
_atom_site_fract_y
_atom_site_fract_z
K1 K 0.9145 0.0000 0.2921
K2 K 0.9145 0.5000 0.7921
Ir1 Ir 0.1519 0.0000 0.0193
Ir2 Ir 0.1519 0.5000 0.5193
Au1 Au 0.2696 0.0000 0.6415
Au2 Au 0.2696 0.5000 0.1415
Cl1 Cl 0.6100 0.0000 0.9756
Cl2 Cl 0.6100 0.5000 0.4756
O1 O 0.3821 0.0000 0.7581
O2 O 0.3821 0.5000 0.2581
```